Computed, not measured: a geometry-optimized CoRu3F structure at the GGA+U level of DFT.

Structure (POSCAR):
```
CoRu3F
1.0
4.146 0.000 0.000
0.000 4.146 0.000
0.000 0.000 4.146
Co F Ru
1 1 3
Cartesian
2.073 2.073 2.073
0.000 0.000 0.000
0.000 0.000 2.073
0.000 2.073 0.000
2.073 0.000 0.000
```

Summary:
**Energy above the lowest structure with this stoichiometry**: 0.0 meV/atom
**D(E_F)**: 7.35 states/eV/f.u.
**Volume**: 14.26 Å³/atom
**M_tot**: 0.65 μB per atom